Record 1
A plane-wave DFT calculation with GGA-PBE was carried out for crystalline La2AlIn at its relaxed geometry.

POSCAR file:
```
La2AlIn
1.0
-4.3960 4.3960 3.1658
4.3960 -4.3960 3.1658
4.3960 4.3960 -3.1658
La Al In
4 2 2
Direct
0.1118 0.6250 0.9868 La
0.3750 0.3618 0.4868 La
0.6382 0.1250 0.0132 La
0.8750 0.8882 0.5132 La
0.0000 0.0000 0.0000 Al
0.7500 0.2500 0.5000 Al
0.2500 0.7500 0.5000 In
0.5000 0.5000 0.0000 In
```

Results
N(E_F) = 8.4 states/eV per cell
Total energy = -4.1402 eV per atom
SG = I-42d (122)
Magnetization = 0.21 μB/f.u.
ΔE_f = -0.056 eV/atom

Record 2
A plane-wave DFT calculation with GGA-PBE was carried out for crystalline Hf3CdC at its relaxed geometry.

POSCAR file:
```
Hf3CdC
1.0
1.6748 -5.9730 0.0000
1.6748 5.9730 0.0000
0.0000 0.0000 9.1847
Hf Cd C
6 2 2
Direct
0.0328 0.9672 0.7500 Hf
0.3762 0.6238 0.5377 Hf
0.3762 0.6238 0.9623 Hf
0.6238 0.3762 0.0377 Hf
0.6238 0.3762 0.4623 Hf
0.9672 0.0328 0.2500 Hf
0.2541 0.7459 0.2500 Cd
0.7459 0.2541 0.7500 Cd
0.0000 0.0000 0.0000 C
0.0000 0.0000 0.5000 C
```

Results
Relative energy among the computed polymorphs = 0.000 eV/atom
N(E_F) = 6.7 states/eV per cell
Total energy = -8.4339 eV per atom
SG = Cmcm (63)
Magnetization = 0.00 μB/f.u.
ΔE_f = -0.434 eV/atom

Record 3
A plane-wave DFT calculation with GGA-PBE was carried out for crystalline Na2Ag2IO6 at its relaxed geometry.

POSCAR file:
```
Na2Ag2IO6
1.0
3.1900 -4.7034 0.0000
3.1900 4.7034 0.0000
-2.5781 0.0000 5.3201
Na Ag I O
2 2 1 6
Direct
0.1867 0.8133 0.0000 Na
0.8133 0.1867 0.0000 Na
0.3421 0.6579 0.5000 Ag
0.6579 0.3421 0.5000 Ag
0.0000 0.0000 0.5000 I
0.0449 0.3339 0.7247 O
0.1911 0.1911 0.3182 O
0.3339 0.0449 0.7247 O
0.6661 0.9551 0.2753 O
0.8089 0.8089 0.6818 O
0.9551 0.6661 0.2753 O
```

Results
Raw formation energy = -15.3 kcal/mol of atoms
N(E_F) = 3.6 states/eV per cell
Total energy = -4.2668 eV per atom
SG = C2/m (12)
Magnetization = 0.95 μB/f.u.

Record 4
A plane-wave DFT calculation with GGA-PBE was carried out for crystalline Pm2TmCd3 at its relaxed geometry.

POSCAR file:
```
Pm2TmCd3
1.0
5.3501 0.0000 0.0000
-2.6751 4.6333 0.0000
0.0000 0.0000 13.1729
Pm Tm Cd
4 2 6
Direct
0.0000 0.0000 0.0000 Pm
0.0000 0.0000 0.5000 Pm
0.3333 0.6667 0.1707 Pm
0.6667 0.3333 0.8293 Pm
0.3333 0.6667 0.6670 Tm
0.6667 0.3333 0.3330 Tm
0.0000 0.0000 0.2541 Cd
0.0000 0.0000 0.7459 Cd
0.3333 0.6667 0.4187 Cd
0.3333 0.6667 0.9137 Cd
0.6667 0.3333 0.0863 Cd
0.6667 0.3333 0.5813 Cd
```

Results
N(E_F) = 13.4 states/eV per cell
Total energy = -3.0979 eV per atom
SG = P-3m1 (164)
Magnetization = 0.92 μB/f.u.
ΔE_f = -0.312 eV/atom

Record 5
A plane-wave DFT calculation with GGA-PBE was carried out for crystalline TaGaTcPd at its relaxed geometry.

POSCAR file:
```
TaGaTcPd
1.0
0.0000 3.1503 3.1503
3.1503 0.0000 3.1503
3.1503 3.1503 0.0000
Ta Ga Tc Pd
1 1 1 1
Direct
0.0000 0.0000 0.0000 Ta
0.5000 0.5000 0.5000 Ga
0.7500 0.7500 0.7500 Tc
0.2500 0.2500 0.2500 Pd
```

Results
N(E_F) = 3.4 states/eV per cell
Total energy = -7.8941 eV per atom
SG = F-43m (216)
Magnetization = 0.00 μB/f.u.
ΔE_f = -0.284 eV/atom

Record 6
A plane-wave DFT calculation with GGA-PBE was carried out for crystalline SiSeCl at its relaxed geometry.

POSCAR file:
```
SiSeCl
1.0
3.8128 0.0000 0.0000
-0.1843 6.8055 0.0000
-1.5541 -2.0035 7.5734
Si Se Cl
2 2 2
Direct
0.0000 0.0000 0.0000 Si
0.4430 0.6889 0.6951 Si
0.4451 0.0789 0.8410 Se
0.9349 0.6710 0.9656 Se
0.1236 0.1932 0.2471 Cl
0.7329 0.7605 0.4998 Cl
```

Results
Raw formation energy = -11.3 kcal/mol of atoms
Relative energy among the computed polymorphs = 0.079 eV/atom
Total energy = -4.0755 eV per atom
SG = P1 (1)
Magnetization = 0.00 μB/f.u.

Record 7
A plane-wave DFT calculation with GGA-PBE was carried out for crystalline MgNbIrRh at its relaxed geometry.

POSCAR file:
```
MgNbIrRh
1.0
0.0000 3.1606 3.1606
3.1606 0.0000 3.1606
3.1606 3.1606 0.0000
Mg Nb Ir Rh
1 1 1 1
Direct
0.0000 0.0000 0.0000 Mg
0.5000 0.5000 0.5000 Nb
0.2500 0.2500 0.2500 Ir
0.7500 0.7500 0.7500 Rh
```

Results
N(E_F) = 3.6 states/eV per cell
Total energy = -7.4758 eV per atom
SG = F-43m (216)
Magnetization = 0.00 μB/f.u.
ΔE_f = -0.507 eV/atom

Record 8
A plane-wave DFT calculation with GGA-PBE was carried out for crystalline Al2SbRu at its relaxed geometry.

POSCAR file:
```
Al2SbRu
1.0
3.0322 0.0000 0.0000
0.0000 3.0322 0.0000
0.0000 0.0000 7.9376
Al Sb Ru
2 1 1
Direct
0.0000 0.0000 0.1780 Al
0.0000 0.0000 0.8220 Al
0.5000 0.5000 0.5000 Sb
0.5000 0.5000 0.0000 Ru
```

Results
Raw formation energy = -5.4 kcal/mol of atoms
N(E_F) = 1.9 states/eV per cell
Total energy = -5.4542 eV per atom
SG = P4/mmm (123)
Magnetization = 0.00 μB/f.u.

Record 9
A plane-wave DFT calculation with GGA-PBE was carried out for crystalline Pm2HfPt at its relaxed geometry.

POSCAR file:
```
Pm2HfPt
1.0
3.5998 0.0000 0.0000
0.0000 3.5998 0.0000
0.0000 0.0000 7.8769
Pm Hf Pt
2 1 1
Direct
0.0000 0.0000 0.2190 Pm
0.0000 0.0000 0.7810 Pm
0.5000 0.5000 0.5000 Hf
0.5000 0.5000 0.0000 Pt
```

Results
Relative energy among the computed polymorphs = 0.000 eV/atom
N(E_F) = 4.0 states/eV per cell
Total energy = -6.7513 eV per atom
SG = P4/mmm (123)
Magnetization = 0.00 μB/f.u.
ΔE_f = -0.377 eV/atom

Record 10
A plane-wave DFT calculation with GGA-PBE was carried out for crystalline PmSc2Cd at its relaxed geometry.

POSCAR file:
```
PmSc2Cd
1.0
-1.8026 2.6680 5.4561
1.8026 -2.6680 5.4561
1.8026 2.6680 -5.4561
Pm Sc Cd
1 2 1
Direct
0.0000 0.0000 0.0000 Pm
0.2740 0.7740 0.5000 Sc
0.7260 0.2260 0.5000 Sc
0.5000 0.5000 0.0000 Cd
```

Results
Relative energy among the computed polymorphs = 0.008 eV/atom
N(E_F) = 5.6 states/eV per cell
Total energy = -4.6881 eV per atom
SG = Immm (71)
Magnetization = 0.00 μB/f.u.
ΔE_f = -0.106 eV/atom

Record 11
A plane-wave DFT calculation with GGA-PBE was carried out for crystalline ZrTa2Pt at its relaxed geometry.

POSCAR file:
```
ZrTa2Pt
1.0
1.9203 -2.2269 0.0000
1.9203 2.2269 0.0000
0.0000 0.0000 8.6630
Zr Ta Pt
1 2 1
Direct
0.0000 0.0000 0.0000 Zr
0.0000 0.0000 0.5273 Ta
0.5000 0.5000 0.2729 Ta
0.5000 0.5000 0.7522 Pt
```

Results
N(E_F) = 4.1 states/eV per cell
Total energy = -9.8852 eV per atom
SG = Cmm2 (35)
Magnetization = 0.00 μB/f.u.
ΔE_f = -0.312 eV/atom

Record 12
A plane-wave DFT calculation with GGA-PBE was carried out for crystalline SrPOs at its relaxed geometry.

POSCAR file:
```
SrPOs
1.0
-1.5830 1.5830 5.7249
1.5830 -1.5830 5.7249
1.5830 1.5830 -5.7249
Sr P Os
1 1 1
Direct
0.0000 0.0000 0.0000 Sr
0.7011 0.7011 0.0000 P
0.2873 0.2873 0.0000 Os
```

Results
N(E_F) = 1.2 states/eV per cell
Total energy = -6.3028 eV per atom
SG = I4mm (107)
Magnetization = 0.00 μB/f.u.
ΔE_f = -0.196 eV/atom

Record 13
A plane-wave DFT calculation with GGA-PBE was carried out for crystalline MgIn2W at its relaxed geometry.

POSCAR file:
```
MgIn2W
1.0
2.9925 0.0000 0.0000
0.0000 4.4083 0.0000
0.0000 0.0000 5.9531
Mg In W
1 2 1
Direct
0.0000 0.0000 0.0000 Mg
0.5000 0.5000 0.2586 In
0.5000 0.5000 0.7414 In
0.0000 0.0000 0.5000 W
```

Results
N(E_F) = 2.1 states/eV per cell
Total energy = -4.6140 eV per atom
SG = Pmmm (47)
Magnetization = 0.00 μB/f.u.
ΔE_f = 0.392 eV/atom

Record 14
A plane-wave DFT calculation with GGA-PBE was carried out for crystalline Er2Mg2Al15 at its relaxed geometry.

POSCAR file:
```
Er2Mg2Al15
1.0
4.8670 2.8100 4.5138
-4.8670 2.8100 4.5138
0.0000 -5.6199 4.5138
Er Mg Al
2 2 15
Direct
0.1143 0.1143 0.1143 Er
0.8857 0.8857 0.8857 Er
0.3669 0.3669 0.3669 Mg
0.6331 0.6331 0.6331 Mg
0.0000 0.0000 0.5000 Al
0.0000 0.2859 0.7141 Al
0.0000 0.5000 0.0000 Al
0.0000 0.7141 0.2859 Al
0.1494 0.6370 0.6370 Al
0.2859 0.0000 0.7141 Al
0.2859 0.7141 0.0000 Al
0.3630 0.3630 0.8506 Al
0.3630 0.8506 0.3630 Al
0.5000 0.0000 0.0000 Al
0.6370 0.1494 0.6370 Al
0.6370 0.6370 0.1494 Al
0.7141 0.0000 0.2859 Al
0.7141 0.2859 0.0000 Al
0.8506 0.3630 0.3630 Al
```

Results
N(E_F) = 8.6 states/eV per cell
Total energy = -3.6432 eV per atom
SG = R-3m (166)
Magnetization = 0.00 μB/f.u.
ΔE_f = -0.040 eV/atom

Record 15
A plane-wave DFT calculation with GGA-PBE was carried out for crystalline HoTmZn4 at its relaxed geometry.

POSCAR file:
```
HoTmZn4
1.0
3.8187 0.0000 0.0000
0.0000 3.7066 0.0000
-0.0196 0.0000 9.6096
Ho Tm Zn
1 1 4
Direct
0.0000 0.0000 0.0000 Ho
0.5000 0.5000 0.5000 Tm
0.0007 0.5000 0.7465 Zn
0.5004 0.0000 0.2494 Zn
0.4996 0.0000 0.7506 Zn
0.9993 0.5000 0.2535 Zn
```

Results
Relative energy among the computed polymorphs = 0.401 eV/atom
N(E_F) = 2.9 states/eV per cell
Total energy = -2.3334 eV per atom
SG = P2/m (10)
Magnetization = 0.00 μB/f.u.
ΔE_f = 0.024 eV/atom

Record 16
A plane-wave DFT calculation with GGA-PBE was carried out for crystalline DyTm2Mn at its relaxed geometry.

POSCAR file:
```
DyTm2Mn
1.0
3.4871 0.0000 0.0000
0.0000 3.4871 0.0000
0.0000 0.0000 8.5437
Dy Tm Mn
1 2 1
Direct
0.0000 0.0000 0.0000 Dy
0.5000 0.5000 0.3011 Tm
0.5000 0.5000 0.6989 Tm
0.0000 0.0000 0.5000 Mn
```

Results
Relative energy among the computed polymorphs = 0.000 eV/atom
N(E_F) = 5.9 states/eV per cell
Total energy = -5.5723 eV per atom
SG = P4/mmm (123)
Magnetization = 3.47 μB/f.u.
ΔE_f = 0.106 eV/atom

Record 17
A plane-wave DFT calculation with GGA-PBE was carried out for crystalline TaBeGaCu2 at its relaxed geometry.

POSCAR file:
```
TaBeGaCu2
1.0
4.8051 0.0000 0.0000
0.0000 4.8051 0.0000
0.0000 0.0000 4.6868
Ta Be Ga Cu
1 1 1 2
Direct
0.0000 0.0000 0.0000 Ta
0.0000 0.0000 0.5000 Be
0.5000 0.5000 0.5000 Ga
0.0000 0.5000 0.0000 Cu
0.5000 0.0000 0.0000 Cu
```

Results
N(E_F) = 6.7 states/eV per cell
Total energy = -3.8602 eV per atom
SG = P4/mmm (123)
Magnetization = 0.00 μB/f.u.
ΔE_f = 1.499 eV/atom

Record 18
A plane-wave DFT calculation with GGA-PBE was carried out for crystalline PuMg2Zr at its relaxed geometry.

POSCAR file:
```
PuMg2Zr
1.0
4.4044 0.0000 0.0000
0.0000 4.4044 0.0000
0.0000 0.0000 4.8999
Pu Mg Zr
1 2 1
Direct
0.0000 0.0000 0.0000 Pu
0.0000 0.5000 0.5000 Mg
0.5000 0.0000 0.5000 Mg
0.5000 0.5000 0.0000 Zr
```

Results
Relative energy among the computed polymorphs = 0.099 eV/atom
N(E_F) = 10.0 states/eV per cell
Total energy = -6.3111 eV per atom
SG = P4/mmm (123)
Magnetization = 6.25 μB/f.u.
ΔE_f = 0.206 eV/atom

Record 19
A plane-wave DFT calculation with GGA-PBE was carried out for crystalline LaTlN3 at its relaxed geometry.

POSCAR file:
```
LaTlN3
1.0
4.7369 0.0000 0.0000
0.0000 4.7369 0.0000
0.0000 0.0000 4.7369
La Tl N
1 1 3
Direct
0.0000 0.0000 0.0000 La
0.5000 0.5000 0.5000 Tl
0.0000 0.0000 0.5000 N
0.0000 0.5000 0.0000 N
0.5000 0.0000 0.0000 N
```

Results
Raw formation energy = 27.4 kcal/mol of atoms
N(E_F) = 2.9 states/eV per cell
Total energy = -5.2653 eV per atom
SG = Pm-3m (221)
Magnetization = 5.00 μB/f.u.

Record 20
A plane-wave DFT calculation with GGA-PBE was carried out for crystalline TlIr2SCl at its relaxed geometry.

POSCAR file:
```
TlIr2SCl
1.0
5.2280 0.0000 0.0000
0.0000 5.2280 0.0000
0.0000 0.0000 4.9575
Tl Ir S Cl
1 2 1 1
Direct
0.0000 0.0000 0.0000 Tl
0.0000 0.5000 0.0000 Ir
0.5000 0.0000 0.0000 Ir
0.0000 0.0000 0.5000 S
0.5000 0.5000 0.5000 Cl
```

Results
Raw formation energy = 47.3 kcal/mol of atoms
N(E_F) = 6.6 states/eV per cell
Total energy = -3.1620 eV per atom
SG = P4/mmm (123)
Magnetization = 3.25 μB/f.u.